(i)
Here is a geometry-optimized LaSm4Y structure from Alexandria. Energies are from PBE.

Cell lengths 3.649, 8.939, 6.273 Å; angles 89.95, 90.00, 90.00 degrees
Fractional positions:
La 0.000 0.000 0.000
Sm 0.000 0.335 0.334
Sm 0.500 0.665 0.166
Sm 0.500 0.335 0.834
Sm 0.000 0.665 0.666
Y 0.500 0.000 0.500

Computed properties:
Calculated density in kg/m³: 6730
D(E_F) in states/eV per cell: 8.69
Spin magnetization in μB/f.u.: 0.0

(ii)
Here is a geometry-optimized LaSm4Y structure from Alexandria. Energies are from PBE.

Cell lengths 6.700, 6.700, 6.700 Å; angles 60.00, 60.00, 60.00 degrees
Fractional positions:
Y 0.000 0.000 0.000
Sm 0.626 0.626 0.122
Sm 0.626 0.122 0.626
Sm 0.626 0.626 0.626
Sm 0.122 0.626 0.626
La 0.250 0.250 0.250

Computed properties:
Calculated density in kg/m³: 6474
D(E_F) in states/eV per cell: 10.93
Spin magnetization in μB/f.u.: 0.0

Least stable: (ii)

(i)
Here is a geometry-optimized La2Sm2Y7 structure from Alexandria. Energies are from PBE.

Cell lengths 7.163, 7.517, 7.517 Å; angles 96.29, 76.21, 76.21 degrees
Fractional positions:
La 0.500 0.162 0.838
La 0.500 0.838 0.162
Sm 0.919 0.369 0.369
Sm 0.081 0.631 0.631
Y 0.189 0.081 0.576
Y 0.811 0.424 0.919
Y 0.811 0.919 0.424
Y 0.189 0.576 0.081
Y 0.000 0.000 0.000
Y 0.510 0.684 0.684
Y 0.490 0.316 0.316

Computed properties:
Calculated density in kg/m³: 5307
D(E_F) in states/eV per cell: 17.56
Spin magnetization in μB/f.u.: 0.0

(ii)
Here is a geometry-optimized La2Sm2Y7 structure from Alexandria. Energies are from PBE.

Cell lengths 3.646, 10.697, 10.697 Å; angles 66.43, 99.96, 99.96 degrees
Fractional positions:
La 0.500 0.723 0.277
La 0.500 0.277 0.723
Sm 0.302 0.802 0.802
Sm 0.698 0.198 0.198
Y 0.167 0.918 0.418
Y 0.833 0.582 0.082
Y 0.833 0.082 0.582
Y 0.167 0.418 0.918
Y 0.000 0.000 0.000
Y 0.619 0.623 0.623
Y 0.381 0.377 0.377

Computed properties:
Calculated density in kg/m³: 5330
D(E_F) in states/eV per cell: 15.89
Spin magnetization in μB/f.u.: 0.0

Least stable: (i)

(i)
Here is a geometry-optimized La2Sm6Y structure from Alexandria. Energies are from PBE.

Cell lengths 3.723, 9.313, 10.126 Å; angles 62.62, 85.64, 80.47 degrees
Fractional positions:
La 0.500 0.832 0.336
La 0.500 0.168 0.664
Sm 0.163 0.831 0.668
Sm 0.837 0.169 0.332
Sm 0.338 0.331 0.000
Sm 0.163 0.499 0.332
Sm 0.837 0.501 0.668
Sm 0.662 0.669 0.000
Y 0.000 0.000 0.000

Computed properties:
Calculated density in kg/m³: 6852
D(E_F) in states/eV per cell: 15.34
Spin magnetization in μB/f.u.: 0.0

(ii)
Here is a geometry-optimized La2Sm6Y structure from Alexandria. Energies are from PBE.

Cell lengths 3.652, 3.652, 27.078 Å; angles 90.00, 90.00, 120.00 degrees
Fractional positions:
La 0.667 0.333 0.329
La 0.667 0.333 0.671
Sm 0.667 0.333 0.893
Sm 0.333 0.667 0.438
Sm 0.333 0.667 0.786
Sm 0.333 0.667 0.214
Sm 0.333 0.667 0.562
Sm 0.667 0.333 0.107
Y 0.333 0.667 0.000

Computed properties:
Calculated density in kg/m³: 6736
D(E_F) in states/eV per cell: 15.92
Spin magnetization in μB/f.u.: 0.0

Least stable: (i)

(i)
Here is a geometry-optimized La2Sm3Y2 structure from Alexandria. Energies are from PBE.

Cell lengths 3.660, 10.955, 6.267 Å; angles 95.32, 73.09, 89.95 degrees
Fractional positions:
La 0.715 0.144 0.570
La 0.285 0.856 0.430
Sm 0.000 0.000 0.000
Sm 0.857 0.570 0.285
Sm 0.143 0.430 0.715
Y 0.429 0.289 0.140
Y 0.571 0.711 0.860

Computed properties:
Calculated density in kg/m³: 6292
D(E_F) in states/eV per cell: 9.90
Spin magnetization in μB/f.u.: 0.0

(ii)
Here is a geometry-optimized La2Sm3Y2 structure from Alexandria. Energies are from PBE.

Cell lengths 3.564, 8.700, 9.137 Å; angles 118.38, 101.25, 90.00 degrees
Fractional positions:
La 0.566 0.913 0.132
La 0.434 0.087 0.868
Sm 0.000 0.500 0.000
Sm 0.212 0.797 0.425
Sm 0.788 0.203 0.575
Y 0.849 0.661 0.698
Y 0.151 0.339 0.302

Computed properties:
Calculated density in kg/m³: 6195
D(E_F) in states/eV per cell: 11.78
Spin magnetization in μB/f.u.: 0.0

Least stable: (ii)

(i)
Here is a geometry-optimized La2Sm2Y structure from Alexandria. Energies are from PBE.

Cell lengths 6.382, 6.382, 9.606 Å; angles 111.31, 102.46, 97.37 degrees
Fractional positions:
La 0.436 0.363 0.151
La 0.213 0.785 0.349
La 0.564 0.637 0.849
La 0.787 0.215 0.651
Sm 0.885 0.249 0.025
Sm 0.225 0.360 0.475
Sm 0.115 0.751 0.975
Sm 0.775 0.640 0.525
Y 0.712 0.962 0.250
Y 0.288 0.038 0.750

Computed properties:
Calculated density in kg/m³: 6394
D(E_F) in states/eV per cell: 13.27
Spin magnetization in μB/f.u.: 0.0

(ii)
Here is a geometry-optimized La2Sm2Y structure from Alexandria. Energies are from PBE.

Cell lengths 5.815, 3.621, 16.904 Å; angles 96.15, 99.90, 90.00 degrees
Fractional positions:
La 0.542 0.292 0.084
La 0.938 0.188 0.876
La 0.458 0.708 0.916
La 0.062 0.812 0.124
Sm 0.729 0.979 0.457
Sm 0.271 0.021 0.543
Sm 0.368 0.118 0.735
Sm 0.632 0.882 0.265
Y 0.825 0.575 0.650
Y 0.175 0.425 0.350

Computed properties:
Calculated density in kg/m³: 6360
D(E_F) in states/eV per cell: 18.41
Spin magnetization in μB/f.u.: 0.0

Least stable: (ii)

(i)
Here is a geometry-optimized La2Sm6Y3 structure from Alexandria. Energies are from PBE.

Cell lengths 6.222, 6.227, 11.926 Å; angles 84.94, 79.84, 60.02 degrees
Fractional positions:
La 0.167 0.666 0.500
La 0.833 0.334 0.500
Sm 0.416 0.667 0.754
Sm 0.749 0.000 0.754
Sm 0.082 0.333 0.754
Sm 0.251 0.000 0.246
Sm 0.584 0.333 0.246
Sm 0.918 0.667 0.246
Y 0.000 0.000 0.000
Y 0.335 0.331 0.000
Y 0.665 0.669 0.000

Computed properties:
Calculated density in kg/m³: 6097
D(E_F) in states/eV per cell: 17.75
Spin magnetization in μB/f.u.: 0.0

(ii)
Here is a geometry-optimized La2Sm6Y3 structure from Alexandria. Energies are from PBE.

Cell lengths 3.633, 3.633, 32.685 Å; angles 86.81, 86.81, 60.00 degrees
Fractional positions:
La 0.454 0.454 0.639
La 0.546 0.546 0.361
Sm 0.089 0.089 0.732
Sm 0.911 0.911 0.268
Sm 0.182 0.182 0.455
Sm 0.818 0.818 0.545
Sm 0.363 0.363 0.911
Sm 0.637 0.637 0.089
Y 0.000 0.000 0.000
Y 0.274 0.274 0.179
Y 0.726 0.726 0.821

Computed properties:
Calculated density in kg/m³: 6442
D(E_F) in states/eV per cell: 15.55
Spin magnetization in μB/f.u.: 0.0

Least stable: (i)